No. 1
A plane-wave DFT calculation with GGA-PBE was carried out for an optimized crystal structure of TaRe2B2.

Cell lengths 6.3055, 6.3055, 2.9625 Å; angles 90.00, 90.00, 90.00 degrees
Atoms (fractional coordinates):
1 Re 0.1510 0.6510 0.5000
2 Re 0.6510 0.8490 0.5000
3 Re 0.8490 0.3490 0.5000
4 Re 0.3490 0.1510 0.5000
5 Ta 0.5000 0.5000 0.0000
6 Ta 0.0000 0.0000 0.0000
7 B 0.1382 0.3618 0.0000
8 B 0.8618 0.6382 0.0000
9 B 0.3618 0.8618 0.0000
10 B 0.6382 0.1382 0.0000

Output
**Polymorph energy (0 for the lowest one)**: 0.000 eV/atom
**Calculated formation energy**: -5.1 kcal/mol of atoms
**Electronic total energy**: -10.243 eV/atom
**Space group**: No. 127

***

No. 2
A plane-wave DFT calculation with GGA-PBE was carried out for an optimized crystal structure of TmAgO3.

Cell lengths 3.8954, 5.8021, 6.1729 Å; angles 90.00, 108.39, 90.00 degrees
Atoms (fractional coordinates):
1 O 0.1648 0.4763 0.3297
2 O 0.8352 0.9763 0.6703
3 O 0.1648 0.0237 0.3297
4 O 0.8352 0.5237 0.6703
5 O 0.4955 0.7500 0.9910
6 O 0.5045 0.2500 0.0090
7 Ag 0.9750 0.2500 0.9499
8 Ag 0.0250 0.7500 0.0501
9 Tm 0.6975 0.2500 0.3951
10 Tm 0.3025 0.7500 0.6049

Output
**Electronic total energy**: -6.039 eV/atom
**Energy relative to the elements, uncorrected**: -1.60 eV per atom
**Space group**: No. 63

***

No. 3
A plane-wave DFT calculation with GGA-PBE was carried out for an optimized crystal structure of Zr2ReRh2.

Cell lengths 6.8466, 6.8466, 3.8387 Å; angles 90.00, 90.00, 90.00 degrees
Atoms (fractional coordinates):
1 Rh 0.6315 0.1315 0.0000
2 Rh 0.1315 0.3685 0.0000
3 Rh 0.8685 0.6315 0.0000
4 Rh 0.3685 0.8685 0.0000
5 Re 0.5000 0.5000 0.0000
6 Re 0.0000 0.0000 0.0000
7 Zr 0.6768 0.8232 0.5000
8 Zr 0.3232 0.1768 0.5000
9 Zr 0.8232 0.3232 0.5000
10 Zr 0.1768 0.6768 0.5000

Output
**Polymorph energy (0 for the lowest one)**: 0.000 eV/atom
**Calculated formation energy**: -6.9 kcal/mol of atoms
**Electronic total energy**: -9.150 eV/atom
**Space group**: No. 127

***

No. 4
A plane-wave DFT calculation with GGA-PBE was carried out for an optimized crystal structure of Zr2CrSe.

Cell lengths 8.7115, 8.7115, 8.7115 Å; angles 22.50, 22.50, 22.50 degrees
Last column: magnetic moment on the atom in μB.
Atoms (fractional coordinates):
1 Cr 0.4917 0.4917 0.4917  3.51
2 Zr 0.0101 0.0101 0.0101  0.28
3 Zr 0.2471 0.2471 0.2471  -0.07
4 Se 0.7511 0.7511 0.7511  -0.01

Output
**Electronic total energy**: -7.658 eV/atom
**Energy relative to the elements, uncorrected**: -0.11 eV per atom
**Space group**: No. 160